Record 1
Density functional theory data (PBEsol) for a geometry-optimized BaNaB5O9 structure.

The formation energy without anion corrections comes out at -2566 meV per atom. The symmetry is P2_1/c (14). As for the density of states at the Fermi level: 0.00 states/eV/f.u.

a = 6.603 Å, b = 14.053 Å, c = 8.410 Å
α = 90.00°, β = 105.21°, γ = 90.00°
Fractional coordinates of all 64 atoms:
Ba 0.086 0.218 0.056
Ba 0.086 0.282 0.556
Ba 0.914 0.718 0.444
Ba 0.914 0.782 0.944
Na 0.459 0.581 0.144
Na 0.459 0.919 0.644
Na 0.541 0.081 0.356
Na 0.541 0.419 0.856
B 0.101 0.056 0.348
B 0.101 0.444 0.848
B 0.181 0.613 0.787
B 0.181 0.887 0.287
B 0.192 0.055 0.748
B 0.192 0.445 0.248
B 0.428 0.748 0.892
B 0.428 0.752 0.392
B 0.463 0.651 0.652
B 0.463 0.849 0.152
B 0.537 0.151 0.848
B 0.537 0.349 0.348
B 0.572 0.248 0.608
B 0.572 0.252 0.108
B 0.808 0.555 0.752
B 0.808 0.945 0.252
B 0.819 0.113 0.713
B 0.819 0.387 0.213
B 0.899 0.556 0.152
B 0.899 0.944 0.652
O 0.053 0.127 0.755
O 0.053 0.373 0.255
O 0.117 0.536 0.201
O 0.117 0.964 0.701
O 0.169 0.145 0.368
O 0.169 0.355 0.868
O 0.240 0.520 0.864
O 0.240 0.980 0.364
O 0.246 0.626 0.637
O 0.246 0.874 0.137
O 0.271 0.688 0.914
O 0.271 0.812 0.414
O 0.402 0.068 0.781
O 0.402 0.432 0.281
O 0.479 0.235 0.735
O 0.479 0.265 0.235
O 0.497 0.176 0.007
O 0.497 0.324 0.507
O 0.503 0.676 0.493
O 0.503 0.824 0.993
O 0.521 0.735 0.765
O 0.521 0.765 0.265
O 0.598 0.568 0.719
O 0.598 0.932 0.219
O 0.729 0.188 0.586
O 0.729 0.312 0.086
O 0.754 0.126 0.863
O 0.754 0.374 0.363
O 0.760 0.020 0.636
O 0.760 0.480 0.136
O 0.831 0.645 0.132
O 0.831 0.855 0.632
O 0.883 0.036 0.299
O 0.883 0.464 0.799
O 0.947 0.627 0.745
O 0.947 0.873 0.245

Record 2
Density functional theory data (PBEsol) for a geometry-optimized BaNa4Ti2Si10B2O30 structure.

The formation energy without anion corrections comes out at -2759 meV per atom. The symmetry is P-1 (2). As for the density of states at the Fermi level: 0.00 states/eV/f.u.

a = 7.208 Å, b = 9.764 Å, c = 9.766 Å
α = 119.47°, β = 91.90°, γ = 91.51°
Fractional coordinates of all 49 atoms:
Ba 0.000 0.000 0.000
Na 0.488 0.730 0.285
Na 0.492 0.296 0.297
Na 0.508 0.704 0.703
Na 0.512 0.270 0.715
Ti 0.497 0.084 0.913
Ti 0.503 0.916 0.087
Si 0.189 0.064 0.372
Si 0.192 0.378 0.074
Si 0.199 0.411 0.574
Si 0.235 0.591 0.925
Si 0.236 0.908 0.581
Si 0.764 0.092 0.419
Si 0.765 0.409 0.075
Si 0.801 0.589 0.426
Si 0.808 0.622 0.926
Si 0.811 0.936 0.628
B 0.214 0.577 0.405
B 0.786 0.423 0.595
O 0.018 0.588 0.412
O 0.032 0.667 0.930
O 0.035 0.926 0.663
O 0.213 0.931 0.425
O 0.214 0.432 0.940
O 0.270 0.233 0.520
O 0.270 0.525 0.243
O 0.278 0.461 0.451
O 0.286 0.031 0.213
O 0.291 0.216 0.032
O 0.308 0.527 0.746
O 0.311 0.731 0.514
O 0.371 0.909 0.909
O 0.381 0.718 0.054
O 0.383 0.039 0.709
O 0.617 0.961 0.291
O 0.619 0.282 0.946
O 0.629 0.091 0.091
O 0.689 0.269 0.486
O 0.692 0.473 0.254
O 0.709 0.784 0.968
O 0.714 0.969 0.787
O 0.722 0.539 0.549
O 0.730 0.475 0.757
O 0.730 0.767 0.480
O 0.786 0.568 0.060
O 0.787 0.069 0.575
O 0.965 0.074 0.337
O 0.968 0.333 0.070
O 0.982 0.412 0.588

Record 3
Density functional theory data (PBEsol) for a geometry-optimized Ba2NbB structure.

The symmetry is I-42d (122). The value obtained for the formation enthalpy at 0 K is 0.79 eV per atom. As for the density of states at the Fermi level: 5.56 states/eV/f.u.

a = 8.210 Å, b = 8.210 Å, c = 8.210 Å
α = 94.01°, β = 94.01°, γ = 149.34°
Fractional coordinates of all 8 atoms:
Ba 0.375 0.042 0.167
Ba 0.792 0.625 0.667
Ba 0.875 0.208 0.833
Ba 0.958 0.125 0.333
Nb 0.250 0.750 0.500
Nb 0.500 0.500 0.000
B 0.000 0.000 0.000
B 0.750 0.250 0.500

Record 4
Density functional theory data (PBEsol) for a geometry-optimized BaNiB2 structure.

The symmetry is Fm-3m (225). The value obtained for the formation enthalpy at 0 K is 1.41 eV per atom. As for the density of states at the Fermi level: 1.54 states/eV/f.u.

a = 4.434 Å, b = 4.434 Å, c = 4.434 Å
α = 60.00°, β = 60.00°, γ = 60.00°
Fractional coordinates of all 4 atoms:
Ba 0.000 0.000 0.000
Ni 0.500 0.500 0.500
B 0.250 0.250 0.250
B 0.750 0.750 0.750